The following is a PBE-GGA calculation of a relaxed Al4ZnCu crystal, from Alexandria via LeMat-Bulk.

* space-group type: F-43m, No. 216
* final energy: -3.10 eV per atom
* energy of formation from the pure elements: 0.29 eV per atom

Cell lengths 5.252, 5.252, 5.252 Å; angles 60.00, 60.00, 60.00 degrees
Fractional positions:
Al1 0.875 0.375 0.375
Al2 0.375 0.375 0.875
Al3 0.375 0.875 0.375
Al4 0.375 0.375 0.375
Zn1 0.000 0.000 0.000
Cu1 0.750 0.750 0.750